First-principles (PBE with a Hubbard U) data for an optimized crystal structure of LiFe7O3F9, as listed in the Alexandria database.

Properties
- energy (eV per atom) = -5.714

CIF file:
```
data_LiFe7O3F9
_chemical_formula_sum 'Li1 Fe7 O3 F9'
_cell_length_a 5.543
_cell_length_b 6.022
_cell_length_c 8.568
_cell_angle_alpha 100.53
_cell_angle_beta 95.45
_cell_angle_gamma 112.68
_space_group_name_H-M_alt 'P 1'
_space_group_IT_number 1
_space_group_name_Hall 'P 1'
loop_
_atom_site_label
_atom_site_fract_x
_atom_site_fract_y
_atom_site_fract_z
_atom_site_occupancy
Li1 0.000 0.000 0.000 1
Fe1 0.033 0.554 0.088 1
Fe2 0.167 0.004 0.454 1
Fe3 0.268 0.571 0.820 1
Fe4 0.537 0.754 0.544 1
Fe5 0.544 0.127 0.914 1
Fe6 0.553 0.918 0.211 1
Fe7 0.899 0.408 0.365 1
O1 0.261 0.710 0.345 1
O2 0.277 0.836 0.003 1
O3 0.825 0.224 0.129 1
F1 0.266 0.422 0.592 1
F2 0.288 0.307 0.944 1
F3 0.364 0.989 0.667 1
F4 0.449 0.206 0.335 1
F5 0.682 0.836 0.810 1
F6 0.816 0.767 0.158 1
F7 0.822 0.066 0.450 1
F8 0.853 0.395 0.836 1
F9 0.857 0.673 0.527 1
```